First-principles (PBE) data for an optimized crystal structure of TaCdHg2, as listed in Alexandria via LeMat-Bulk.

POSCAR file:
```
TaCdHg2
1.0
3.0032 0.0000 0.0000
0.0000 3.0032 0.0000
0.0000 0.0000 9.3086
Ta Cd Hg
1 1 2
direct
0.0000 0.0000 0.0000
0.5000 0.5000 0.2336
0.0000 0.0000 0.4954
0.5000 0.5000 0.7677
```

Calculated values
Space-group type ... P4mm (99)
Formation enthalpy at 0 K ... 0.307 eV per atom
V ... 20.99 Å³ per atom
Energy ... -3.036 eV/atom



First-principles (PBE) data for an optimized crystal structure of Cr3FeI, as listed in Alexandria via LeMat-Bulk.

POSCAR file:
```
Cr3FeI
1.0
4.5814 0.0000 0.0000
0.0000 4.5814 0.0000
0.0000 0.0000 4.5814
Cr Fe I
3 1 1
direct
0.0000 0.0000 0.5000
0.0000 0.5000 0.0000
0.5000 0.0000 0.0000
0.0000 0.0000 0.0000
0.5000 0.5000 0.5000
```

Calculated values
Space-group type ... Pm-3m (221)
E_form (uncorrected) ... 1101 meV/atom
V ... 19.23 Å³ per atom
Energy ... -6.675 eV/atom



First-principles (PBE) data for an optimized crystal structure of NdMgAs2, as listed in Alexandria via LeMat-Bulk.

POSCAR file:
```
NdMgAs2
1.0
2.1134 1.2202 6.3894
-2.1134 1.2202 6.3894
0.0000 -2.4404 6.3894
Nd Mg As
1 1 2
direct
0.0000 0.0000 0.0000
0.8254 0.8254 0.8254
0.4239 0.4239 0.4239
0.5742 0.5742 0.5742
```

Calculated values
Space-group type ... R3m (160)
ΔE to the lowest computed polymorph ... 0.000 eV per formula unit
Formation enthalpy at 0 K ... -0.838 eV per atom
V ... 24.72 Å³ per atom
Energy ... -4.754 eV/atom



First-principles (PBE) data for an optimized crystal structure of ZnCd2Cl, as listed in Alexandria via LeMat-Bulk.

POSCAR file:
```
ZnCd2Cl
1.0
-3.9276 3.9276 3.0830
3.9276 -3.9276 3.0830
3.9276 3.9276 -3.0830
Zn Cd Cl
2 4 2
direct
0.0000 0.0000 0.0000
0.7500 0.2500 0.5000
0.1102 0.6250 0.9852
0.3750 0.3602 0.4852
0.6398 0.1250 0.0148
0.8750 0.8898 0.5148
0.2500 0.7500 0.5000
0.5000 0.5000 0.0000
```

Calculated values
Space-group type ... I-42d (122)
E_form (uncorrected) ... -169 meV/atom
ΔE to the lowest computed polymorph ... 0.309 eV per formula unit
V ... 23.78 Å³ per atom
Energy ... -1.407 eV/atom



First-principles (PBE) data for an optimized crystal structure of Dy2ThH8, as listed in Alexandria via LeMat-Bulk.

POSCAR file:
```
Dy2ThH8
1.0
-1.8085 2.7590 5.4635
1.8085 -2.7590 5.4635
1.8085 2.7590 -5.4635
Dy Th H
2 1 8
direct
0.1684 0.1684 0.0000
0.8316 0.8316 0.0000
0.5000 0.5000 0.0000
0.0706 0.3332 0.7375
0.2207 0.0000 0.2207
0.3468 0.8468 0.5000
0.4043 0.6668 0.7375
0.5957 0.3332 0.2625
0.6532 0.1532 0.5000
0.7793 0.0000 0.7793
0.9294 0.6668 0.2625
```

Calculated values
Space-group type ... Immm (71)
V ... 9.91 Å³ per atom
Energy ... -4.514 eV/atom



First-principles (PBE) data for an optimized crystal structure of Ce3DyH8, as listed in Alexandria via LeMat-Bulk.

POSCAR file:
```
Ce3DyH8
1.0
5.3800 0.0000 0.0000
0.0000 5.3800 0.0000
0.0000 0.0000 5.3800
Ce Dy H
3 1 8
direct
0.0000 0.0000 0.5000
0.0000 0.5000 0.0000
0.5000 0.0000 0.0000
0.5000 0.5000 0.5000
0.2575 0.2575 0.2575
0.2575 0.2575 0.7425
0.2575 0.7425 0.2575
0.2575 0.7425 0.7425
0.7425 0.2575 0.2575
0.7425 0.2575 0.7425
0.7425 0.7425 0.2575
0.7425 0.7425 0.7425
```

Calculated values
Space-group type ... Pm-3m (221)
V ... 12.98 Å³ per atom
Energy ... -4.678 eV/atom



First-principles (PBE) data for an optimized crystal structure of LiSb2P, as listed in Alexandria via LeMat-Bulk.

POSCAR file:
```
LiSb2P
1.0
-2.1797 2.1797 4.6538
2.1797 -2.1797 4.6538
2.1797 2.1797 -4.6538
Li Sb P
1 2 1
direct
0.0000 0.0000 0.0000
0.2500 0.7500 0.5000
0.7500 0.2500 0.5000
0.5000 0.5000 0.0000
```

Calculated values
Space-group type ... I4/mmm (139)
E_form (uncorrected) ... 157 meV/atom
V ... 22.11 Å³ per atom
Energy ... -3.735 eV/atom



First-principles (PBE) data for an optimized crystal structure of PmNpSn6, as listed in Alexandria via LeMat-Bulk.

POSCAR file:
```
PmNpSn6
1.0
4.7096 0.0000 0.0000
0.0000 4.7096 0.0000
0.0000 0.0000 9.3648
Pm Np Sn
1 1 6
direct
0.0000 0.0000 0.0000
0.0000 0.0000 0.5000
0.0000 0.5000 0.2559
0.0000 0.5000 0.7441
0.5000 0.0000 0.2559
0.5000 0.0000 0.7441
0.5000 0.5000 0.0000
0.5000 0.5000 0.5000
```

Calculated values
Space-group type ... P4/mmm (123)
Formation enthalpy at 0 K ... -0.319 eV per atom
V ... 25.96 Å³ per atom
Energy ... -5.532 eV/atom



First-principles (PBE) data for an optimized crystal structure of CeThPtN, as listed in Alexandria via LeMat-Bulk.

POSCAR file:
```
CeThPtN
1.0
4.3106 0.0000 0.0000
0.0000 4.3106 0.0000
0.0000 0.0000 9.3863
Ce Th Pt N
2 2 2 2
direct
0.2500 0.7500 0.0000
0.7500 0.2500 0.0000
0.2500 0.2500 0.3885
0.7500 0.7500 0.6115
0.2500 0.2500 0.7892
0.7500 0.7500 0.2108
0.2500 0.7500 0.5000
0.7500 0.2500 0.5000
```

Calculated values
Space-group type ... P4/nmm (129)
E_form (uncorrected) ... -1043 meV/atom
V ... 21.80 Å³ per atom
Energy ... -7.973 eV/atom



First-principles (PBE) data for an optimized crystal structure of Hf2Al2Tl, as listed in Alexandria via LeMat-Bulk.

POSCAR file:
```
Hf2Al2Tl
1.0
-2.2003 2.2003 6.0500
2.2003 -2.2003 6.0500
2.2003 2.2003 -6.0500
Hf Al Tl
2 2 1
direct
0.2500 0.7500 0.5000
0.7500 0.2500 0.5000
0.1026 0.1026 0.0000
0.8974 0.8974 0.0000
0.5000 0.5000 0.0000
```

Calculated values
Space-group type ... I4/mmm (139)
ΔE to the lowest computed polymorph ... 1.908 eV per formula unit
Formation enthalpy at 0 K ... 0.301 eV per atom
V ... 23.43 Å³ per atom
Energy ... -5.651 eV/atom



First-principles (PBE) data for an optimized crystal structure of Pr3Gd, as listed in Alexandria via LeMat-Bulk.

POSCAR file:
```
Pr3Gd
1.0
-2.6091 2.6091 5.2020
2.6091 -2.6091 5.2020
2.6091 2.6091 -5.2020
Pr Gd
3 1
direct
0.0000 0.0000 0.0000
0.2500 0.7500 0.5000
0.7500 0.2500 0.5000
0.5000 0.5000 0.0000
```

Calculated values
Space-group type ... I4/mmm (139)
ΔE to the lowest computed polymorph ... 0.009 eV per formula unit
Formation enthalpy at 0 K ... 0.010 eV per atom
V ... 35.41 Å³ per atom
Energy ... -7.094 eV/atom



First-principles (PBE) data for an optimized crystal structure of ZrPb2, as listed in Alexandria via LeMat-Bulk.

POSCAR file:
```
ZrPb2
1.0
0.0000 4.4179 4.4179
4.4179 0.0000 4.4179
4.4179 4.4179 0.0000
Zr Pb
2 4
direct
0.1250 0.1250 0.1250
0.8750 0.8750 0.8750
0.0000 0.5000 0.5000
0.5000 0.0000 0.5000
0.5000 0.5000 0.0000
0.5000 0.5000 0.5000
```

Calculated values
Space-group type ... Fd-3m (227)
Formation enthalpy at 0 K ... 0.499 eV per atom
V ... 28.74 Å³ per atom
Energy ... -4.822 eV/atom



First-principles (PBE) data for an optimized crystal structure of Nd2Si3Ni2, as listed in Alexandria via LeMat-Bulk.

POSCAR file:
```
Nd2Si3Ni2
1.0
5.4754 -1.9344 0.0000
5.4754 1.9344 0.0000
-3.7578 0.0000 5.8274
Nd Si Ni
2 3 2
direct
0.1369 0.1369 0.2652
0.8631 0.8631 0.7348
0.3514 0.3514 0.0656
0.5000 0.5000 0.5000
0.6486 0.6486 0.9344
0.1276 0.1276 0.7176
0.8724 0.8724 0.2824
```

Calculated values
Space-group type ... C2/m (12)
E_form (uncorrected) ... -616 meV/atom
ΔE to the lowest computed polymorph ... 0.591 eV per formula unit
V ... 17.63 Å³ per atom
Energy ... -5.954 eV/atom



First-principles (PBE) data for an optimized crystal structure of RbBiH2, as listed in Alexandria via LeMat-Bulk.

POSCAR file:
```
RbBiH2
1.0
0.0000 3.4064 3.4064
3.4064 0.0000 3.4064
3.4064 3.4064 0.0000
Rb Bi H
1 1 2
direct
0.0000 0.0000 0.0000
0.5000 0.5000 0.5000
0.2500 0.2500 0.2500
0.7500 0.7500 0.7500
```

Calculated values
Space-group type ... Fm-3m (225)
ΔE to the lowest computed polymorph ... 2.501 eV per formula unit
V ... 19.76 Å³ per atom
Energy ... -2.288 eV/atom



First-principles (PBE) data for an optimized crystal structure of Tb5Pm5Cd2, as listed in Alexandria via LeMat-Bulk.

POSCAR file:
```
Tb5Pm5Cd2
1.0
7.3848 -2.4931 0.0000
7.3848 2.4931 0.0000
-0.0280 0.0000 10.0454
Tb Pm Cd
5 5 2
direct
0.0000 0.0000 0.0000
0.1702 0.1702 0.2515
0.3301 0.3301 0.5092
0.6699 0.6699 0.4908
0.8298 0.8298 0.7485
0.0000 0.0000 0.5000
0.3311 0.3311 0.9901
0.4963 0.4963 0.2506
0.5037 0.5037 0.7494
0.6689 0.6689 0.0099
0.1671 0.1671 0.7477
0.8329 0.8329 0.2523
```

Calculated values
Space-group type ... C2/m (12)
Formation enthalpy at 0 K ... -0.042 eV per atom
V ... 30.82 Å³ per atom
Energy ... -4.103 eV/atom



First-principles (PBE) data for an optimized crystal structure of GaRhCl2, as listed in Alexandria via LeMat-Bulk.

POSCAR file:
```
GaRhCl2
1.0
-3.0992 3.0992 5.9953
3.0992 -3.0992 5.9953
3.0992 3.0992 -5.9953
Ga Rh Cl
2 2 4
direct
0.0000 0.0000 0.0000
0.7500 0.2500 0.5000
0.2500 0.7500 0.5000
0.5000 0.5000 0.0000
0.1880 0.6250 0.0630
0.3750 0.4380 0.5630
0.5620 0.1250 0.9370
0.8750 0.8120 0.4370
```

Calculated values
Space-group type ... I-42d (122)
E_form (uncorrected) ... -5 meV/atom
ΔE to the lowest computed polymorph ... 0.000 eV per formula unit
V ... 28.79 Å³ per atom
Energy ... -3.523 eV/atom



First-principles (PBE) data for an optimized crystal structure of CaHo2CrN4, as listed in Alexandria via LeMat-Bulk.

POSCAR file:
```
CaHo2CrN4
1.0
1.6934 -5.8014 0.0000
1.6934 5.8014 0.0000
0.0000 0.0000 11.6491
Ca Ho Cr N
2 4 2 8
direct
0.0962 0.9038 0.7500
0.9038 0.0962 0.2500
0.3701 0.6299 0.5413
0.3701 0.6299 0.9587
0.6299 0.3701 0.0413
0.6299 0.3701 0.4587
0.1718 0.8282 0.2500
0.8282 0.1718 0.7500
0.0000 0.0000 0.0000
0.0000 0.0000 0.5000
0.2616 0.7384 0.1246
0.2616 0.7384 0.3754
0.4117 0.5883 0.7500
0.5883 0.4117 0.2500
0.7384 0.2616 0.6246
0.7384 0.2616 0.8754
```

Calculated values
Space-group type ... Cmcm (63)
E_form (uncorrected) ... -1196 meV/atom
V ... 14.31 Å³ per atom
Energy ... -7.956 eV/atom



First-principles (PBE) data for an optimized crystal structure of MnInNi2, as listed in Alexandria via LeMat-Bulk.

POSCAR file:
```
MnInNi2
1.0
2.8981 0.0000 0.0000
0.0000 4.0771 0.0000
-1.4254 0.0000 4.8841
Mn In Ni
1 1 2
direct
0.0000 0.0000 0.0000
0.3117 0.5000 0.6301
0.5785 0.5000 0.1559
0.7177 0.0000 0.4411
```

Calculated values
Space-group type ... Pm (6)
Formation enthalpy at 0 K ... 0.042 eV per atom
V ... 14.43 Å³ per atom
Energy ... -5.825 eV/atom



First-principles (PBE) data for an optimized crystal structure of PaH2Se, as listed in Alexandria via LeMat-Bulk.

POSCAR file:
```
PaH2Se
1.0
1.8846 1.0881 4.3371
-1.8846 1.0881 4.3371
0.0000 -2.1762 4.3371
Pa H Se
1 2 1
direct
0.0000 0.0000 0.0000
0.3012 0.3012 0.3012
0.6988 0.6988 0.6988
0.5000 0.5000 0.5000
```

Calculated values
Space-group type ... R-3m (166)
V ... 13.34 Å³ per atom
Energy ... -5.720 eV/atom



Number 1: total magnetization 0.000 μB/f.u.. Number 2: total magnetization 8.431 μB/f.u.. Number 3: total magnetization 0.000 μB/f.u.. Number 4: total magnetization 0.000 μB/f.u.. Number 5: total magnetization 0.000 μB/f.u.. Number 6: total magnetization 2.758 μB/f.u.. Number 7: total magnetization 0.000 μB/f.u.. Number 8: total magnetization 4.133 μB/f.u.. Number 9: total magnetization 0.744 μB/f.u.. Number 10: total magnetization 0.000 μB/f.u.. Number 11: total magnetization 7.367 μB/f.u.. Number 12: total magnetization 0.807 μB/f.u.. Number 13: total magnetization 0.000 μB/f.u.. Number 14: total magnetization 0.000 μB/f.u.. Number 15: total magnetization 0.000 μB/f.u.. Number 16: total magnetization 2.000 μB/f.u.. Number 17: total magnetization 1.872 μB/f.u.. Number 18: total magnetization 4.275 μB/f.u.. Number 19: total magnetization 0.997 μB/f.u..